# Th2AlPd (PBE-GGA, optimized geometry)
# Magnetic moment   0.000 Bohr magnetons per cell
# DFT formation energy   -454 meV/atom
# Polymorph energy (0 for the lowest one)   44.7 meV per atom
# Fermi-level density of states   3.733 states/eV/cell
data_Th2AlPd
_chemical_formula_sum 'Th2 Al1 Pd1'
_cell_length_a 3.4158
_cell_length_b 3.4158
_cell_length_c 8.3775
_cell_angle_alpha 90.00
_cell_angle_beta 90.00
_cell_angle_gamma 90.00
_symmetry_space_group_name_H-M 'P 1'
_symmetry_Int_Tables_number 1
loop_
_symmetry_equiv_pos_as_xyz
'x,y,z'
loop_
_atom_site_label
_atom_site_type_symbol
_atom_site_fract_x
_atom_site_fract_y
_atom_site_fract_z
Th1 Th 0.0000 0.0000 0.2404
Th2 Th 0.0000 0.0000 0.7596
Al1 Al 0.5000 0.5000 0.5000
Pd1 Pd 0.5000 0.5000 0.0000